(1)
VASP calculation (GGA-PBE) on a relaxed TmAgSbAu crystal.

Results
formation energy from raw total energies	-0.483	eV/atom
SG	F-43m (216)

Lattice parameters (Å, degrees): 7.086 7.086 7.086 90.00 90.00 90.00
Positions (direct):
1 Tm 0.000 0.000 0.000
2 Tm 0.000 0.500 0.500
3 Tm 0.500 0.000 0.500
4 Tm 0.500 0.500 0.000
5 Ag 0.000 0.000 0.500
6 Ag 0.000 0.500 0.000
7 Ag 0.500 0.000 0.000
8 Ag 0.500 0.500 0.500
9 Sb 0.250 0.250 0.250
10 Sb 0.250 0.750 0.750
11 Sb 0.750 0.250 0.750
12 Sb 0.750 0.750 0.250
13 Au 0.250 0.250 0.750
14 Au 0.250 0.750 0.250
15 Au 0.750 0.250 0.250
16 Au 0.750 0.750 0.750

***

(2)
VASP calculation (GGA-PBE) on a relaxed PmErNiSn crystal.

Results
formation enthalpy at 0 K	-0.4100	eV per atom
SG	F-43m (216)

Lattice parameters (Å, degrees): 7.276 7.276 7.276 90.00 90.00 90.00
Positions (direct):
1 Pm 0.000 0.000 0.000
2 Pm 0.000 0.500 0.500
3 Pm 0.500 0.000 0.500
4 Pm 0.500 0.500 0.000
5 Er 0.000 0.000 0.500
6 Er 0.000 0.500 0.000
7 Er 0.500 0.000 0.000
8 Er 0.500 0.500 0.500
9 Ni 0.250 0.250 0.250
10 Ni 0.250 0.750 0.750
11 Ni 0.750 0.250 0.750
12 Ni 0.750 0.750 0.250
13 Sn 0.250 0.250 0.750
14 Sn 0.250 0.750 0.250
15 Sn 0.750 0.250 0.250
16 Sn 0.750 0.750 0.750

***

(3)
VASP calculation (GGA-PBE) on a relaxed Fe3CoS crystal.

Results
formation energy from raw total energies	0.985	eV/atom
SG	Pm-3m (221)

Lattice parameters (Å, degrees): 4.353 4.353 4.353 90.00 90.00 90.00
Positions (direct):
1 Fe 0.000 0.000 0.500
2 Fe 0.000 0.500 0.000
3 Fe 0.500 0.000 0.000
4 Co 0.000 0.000 0.000
5 S 0.500 0.500 0.500

***

(4)
VASP calculation (GGA-PBE) on a relaxed NaGdInCu crystal.

Results
formation enthalpy at 0 K	-0.1117	eV per atom
SG	F-43m (216)

Lattice parameters (Å, degrees): 6.969 6.969 6.969 90.00 90.00 90.00
Positions (direct):
1 Na 0.000 0.000 0.000
2 Na 0.000 0.500 0.500
3 Na 0.500 0.000 0.500
4 Na 0.500 0.500 0.000
5 Gd 0.250 0.250 0.250
6 Gd 0.250 0.750 0.750
7 Gd 0.750 0.250 0.750
8 Gd 0.750 0.750 0.250
9 In 0.250 0.250 0.750
10 In 0.250 0.750 0.250
11 In 0.750 0.250 0.250
12 In 0.750 0.750 0.750
13 Cu 0.000 0.000 0.500
14 Cu 0.000 0.500 0.000
15 Cu 0.500 0.000 0.000
16 Cu 0.500 0.500 0.500

***

(5)
VASP calculation (GGA-PBE) on a relaxed CeYTm crystal.

Results
formation enthalpy at 0 K	0.0788	eV per atom
SG	I4mm (107)

Lattice parameters (Å, degrees): 3.514 3.514 14.945 90.00 90.00 90.00
Positions (direct):
1 Ce 0.000 0.000 0.000
2 Ce 0.500 0.500 0.500
3 Y 0.000 0.000 0.333
4 Y 0.500 0.500 0.833
5 Tm 0.000 0.000 0.662
6 Tm 0.500 0.500 0.162

***

(6)
VASP calculation (GGA-PBE) on a relaxed ThGePt4 crystal.

Results
formation enthalpy at 0 K	-0.7336	eV per atom
SG	F-43m (216)

Lattice parameters (Å, degrees): 5.420 5.420 5.420 60.00 60.00 60.00
Positions (direct):
1 Th 0.000 0.000 0.000
2 Ge 0.750 0.750 0.750
3 Pt 0.376 0.376 0.376
4 Pt 0.376 0.376 0.873
5 Pt 0.376 0.873 0.376
6 Pt 0.873 0.376 0.376

***

(7)
VASP calculation (GGA-PBE) on a relaxed CaEu6 crystal.

Results
formation enthalpy at 0 K	0.9640	eV per atom
SG	Im-3m (229)

Lattice parameters (Å, degrees): 9.117 9.117 9.117 90.00 90.00 90.00
Positions (direct):
1 Ca 0.000 0.000 0.000
2 Ca 0.500 0.500 0.500
3 Eu 0.000 0.250 0.500
4 Eu 0.000 0.500 0.250
5 Eu 0.000 0.500 0.750
6 Eu 0.000 0.750 0.500
7 Eu 0.250 0.000 0.500
8 Eu 0.250 0.500 0.000
9 Eu 0.500 0.000 0.250
10 Eu 0.500 0.000 0.750
11 Eu 0.500 0.250 0.000
12 Eu 0.500 0.750 0.000
13 Eu 0.750 0.000 0.500
14 Eu 0.750 0.500 0.000

***

(8)
VASP calculation (GGA-PBE) on a relaxed Sm3B4C4 crystal.

Results
formation enthalpy at 0 K	0.3860	eV per atom
SG	Immm (71)

Lattice parameters (Å, degrees): 7.609 7.609 7.609 150.70 140.86 49.63
Positions (direct):
1 Sm 0.000 0.000 0.000
2 Sm 0.302 0.802 0.500
3 Sm 0.698 0.198 0.500
4 B 0.072 0.398 0.675
5 B 0.277 0.602 0.675
6 B 0.723 0.398 0.325
7 B 0.928 0.602 0.325
8 C 0.171 0.171 0.000
9 C 0.352 0.500 0.852
10 C 0.648 0.500 0.148
11 C 0.829 0.829 0.000